Record 1
Here is an optimized crystal structure of TcRh2Pb from the Alexandria database. Energies are from PBE.

a = 3.8744 Å, b = 2.9394 Å, c = 6.5080 Å
α = 63.10°, β = 90.00°, γ = 90.00°
Element x y z (fractional)
Rh 0.0000 0.9749 0.0254
Rh 0.0000 0.5251 0.4746
Tc 0.5000 0.2500 0.2500
Pb 0.5000 0.7500 0.7500

Values from the calculation:
energy of formation	0.20	eV per atom
uncorrected energy	-28.0	eV per cell

=====

Record 2
Here is an optimized crystal structure of TcRh2Pb from the Alexandria database. Energies are from PBE.

a = 3.2918 Å, b = 3.2918 Å, c = 6.2289 Å
α = 90.00°, β = 90.00°, γ = 90.00°
Site moments in Bohr magnetons follow the coordinates.
Element x y z (fractional)
Pb 0.5000 0.5000 0.7628  0.00
Rh 0.5000 0.5000 0.2652  0.19
Rh 0.0000 0.0000 0.0146  -0.02
Tc 0.0000 0.0000 0.4573  0.31

Values from the calculation:
energy of formation	0.35	eV per atom
uncorrected energy	-27.4	eV per cell

=====

Record 3
Here is an optimized crystal structure of Tc3RhPb from the Alexandria database. Energies are from PBE.

a = 4.7307 Å, b = 4.7307 Å, c = 4.7307 Å
α = 90.00°, β = 90.00°, γ = 90.00°
Site moments in Bohr magnetons follow the coordinates.
Element x y z (fractional)
Tc 0.5000 0.0000 0.0000  0.80
Tc 0.0000 0.0000 0.5000  1.11
Tc 0.0000 0.5000 0.0000  0.93
Rh 0.0000 0.0000 0.0000  -0.03
Pb 0.5000 0.5000 0.5000  -0.03

Values from the calculation:
energy of formation	1.63	eV per atom
polymorph energy (0 for the lowest one)	0.000	eV per atom
uncorrected energy	-34.0	eV per cell

=====

Record 4
Here is an optimized crystal structure of TcRh2Pb from the Alexandria database. Energies are from PBE.

a = 4.5581 Å, b = 2.9009 Å, c = 4.9717 Å
α = 89.99°, β = 90.00°, γ = 90.00°
Element x y z (fractional)
Tc 0.0000 0.6248 0.4367
Pb 0.5000 0.6253 0.7952
Rh 0.0000 0.1250 0.9719
Rh 0.5000 0.1249 0.2963

Values from the calculation:
energy of formation	0.25	eV per atom
uncorrected energy	-27.8	eV per cell

=====

Record 5
Here is an optimized crystal structure of TcRh2Pb from the Alexandria database. Energies are from PBE.

a = 4.8233 Å, b = 4.8233 Å, c = 4.9158 Å
α = 81.00°, β = 81.00°, γ = 36.04°
Site moments in Bohr magnetons follow the coordinates.
Element x y z (fractional)
Rh 0.0060 0.0060 0.9758  0.00
Rh 0.4940 0.4940 0.5242  0.00
Tc 0.7500 0.7500 0.7500  0.47
Pb 0.2500 0.2500 0.2500  -0.01

Values from the calculation:
energy of formation	0.27	eV per atom
uncorrected energy	-27.7	eV per cell

=====

Record 6
Here is an optimized crystal structure of TcRh2Pb from the Alexandria database. Energies are from PBE.

a = 4.5309 Å, b = 4.5309 Å, c = 4.5309 Å
α = 60.00°, β = 60.00°, γ = 60.00°
Element x y z (fractional)
Rh 0.2500 0.2500 0.2500
Rh 0.0000 0.0000 0.0000
Pb 0.5000 0.5000 0.5000
Tc 0.7500 0.7500 0.7500

Values from the calculation:
energy of formation	0.33	eV per atom
uncorrected energy	-27.5	eV per cell

=====

Record 7
Here is an optimized crystal structure of TcRh2Pb from the Alexandria database. Energies are from PBE.

a = 5.7221 Å, b = 5.7221 Å, c = 7.2125 Å
α = 66.63°, β = 66.63°, γ = 90.00°
Element x y z (fractional)
Tc 0.2500 0.7500 0.5000
Tc 0.5000 0.5000 0.0000
Rh 0.3750 0.4233 0.7500
Rh 0.1733 0.6250 0.2500
Rh 0.8750 0.8267 0.7500
Rh 0.5767 0.1250 0.2500
Pb 0.0000 0.0000 0.0000
Pb 0.7500 0.2500 0.5000

Values from the calculation:
energy of formation	0.83	eV per atom
uncorrected energy	-50.9	eV per cell

=====

Record 8
Here is an optimized crystal structure of Tc2RhPb from the Alexandria database. Energies are from PBE.

a = 4.7854 Å, b = 4.7854 Å, c = 4.9802 Å
α = 76.99°, β = 76.99°, γ = 37.90°
Element x y z (fractional)
Rh 0.7431 0.7431 0.7540
Pb 0.5010 0.5010 0.5233
Tc 0.2647 0.2647 0.1789
Tc 0.9911 0.9911 0.0439

Values from the calculation:
energy of formation	0.37	eV per atom
uncorrected energy	-30.3	eV per cell

=====

Record 9
Here is an optimized crystal structure of Tc2RhPb from the Alexandria database. Energies are from PBE.

a = 4.6807 Å, b = 4.6807 Å, c = 3.0398 Å
α = 90.00°, β = 90.00°, γ = 90.00°
Element x y z (fractional)
Tc 0.5000 0.5000 0.0000
Tc 0.0000 0.0000 0.0000
Rh 0.0000 0.5000 0.5000
Pb 0.5000 0.0000 0.5000

Values from the calculation:
energy of formation	0.64	eV per atom
uncorrected energy	-29.2	eV per cell

=====

Record 10
Here is an optimized crystal structure of Tc2RhPb from the Alexandria database. Energies are from PBE.

a = 4.1247 Å, b = 2.8856 Å, c = 6.2458 Å
α = 70.41°, β = 90.00°, γ = 90.00°
Element x y z (fractional)
Pb 0.5000 0.2500 0.2500
Tc 0.0000 0.3934 0.5524
Tc 0.0000 0.1066 0.9476
Rh 0.5000 0.7500 0.7500

Values from the calculation:
energy of formation	0.46	eV per atom
uncorrected energy	-30.0	eV per cell

=====

> Look up the energy of formation of the first one.

0.20 eV per atom

=====

> Which of these has the lowest uncorrected energy?

number 7

=====

> Which value of uncorrected energy does entry 4 give?

-27.8 eV per cell

=====

> uncorrected energy of number 6 (TcRh2Pb)?

-27.5 eV per cell